# Hf2PdRu

Hf2PdRu after structural relaxation (PBE, Alexandria).

Properties
The value obtained for the formation energy is -0.1917 eV/atom. As for the total magnetic moment: 0.000 μB per cell.

Cell: 7.1716 7.1716 5.9026 Å, 90.00 90.00 90.00°
With the nearest neighbours (Å) after each atom.
Fractional positions:
Hf  0.2390  0.2500  0.1250  2 Ru 2.59, 2 Pd 2.69
Hf  0.2500  0.7390  0.3750  2 Ru 2.59, 2 Pd 2.69
Hf  0.2500  0.7610  0.8750  2 Ru 2.59, 2 Pd 2.69
Hf  0.2610  0.2500  0.6250  2 Ru 2.59, 2 Pd 2.69
Hf  0.7390  0.7500  0.6250  2 Ru 2.59, 2 Pd 2.69
Hf  0.7500  0.2390  0.8750  2 Ru 2.59, 2 Pd 2.69
Hf  0.7500  0.2610  0.3750  2 Ru 2.59, 2 Pd 2.69
Hf  0.7610  0.7500  0.1250  2 Ru 2.59, 2 Pd 2.69
Pd  0.0000  0.0000  0.5000  4 Hf 2.69, 2 Ru 2.95
Pd  0.0000  0.5000  0.7500  4 Hf 2.69, 2 Ru 2.95
Pd  0.5000  0.0000  0.2500  4 Hf 2.69, 2 Ru 2.95
Pd  0.5000  0.5000  0.0000  4 Hf 2.69, 2 Ru 2.95
Ru  0.0000  0.0000  0.0000  4 Hf 2.59
Ru  0.0000  0.5000  0.2500  4 Hf 2.59
Ru  0.5000  0.0000  0.7500  4 Hf 2.59
Ru  0.5000  0.5000  0.5000  4 Hf 2.59